#w
Here is a geometry-optimized VSiIr3 structure from Alexandria. Energies are from GGA-PBE.

Results
Total magnetic moment (μB/f.u.): 0.00
V (Å³/atom): 18.652

POSCAR file:
```
VSiIr3
1.0
4.535 0.000 0.000
0.000 4.535 0.000
0.000 0.000 4.535
V Si Ir
1 1 3
direct
0.000 0.000 0.000
0.500 0.500 0.500
0.000 0.000 0.500
0.000 0.500 0.000
0.500 0.000 0.000
```

---

#x
Here is a geometry-optimized VSiIr3 structure from Alexandria. Energies are from GGA-PBE.

Results
Total magnetic moment (μB/f.u.): 2.16
V (Å³/atom): 17.029

POSCAR file:
```
VSiIr3
1.0
4.399 0.000 0.000
0.000 4.399 0.000
0.000 0.000 4.399
V Si Ir
1 1 3
direct
0.000 0.000 0.000
0.500 0.500 0.500
0.000 0.500 0.500
0.500 0.000 0.500
0.500 0.500 0.000
```

---

Which of the structures shown above is the most stable? The most stable is #x.